Here is a relaxed structure of ErMg from OQMD. Energies are from PBE-GGA.

The structure in CIF format:
```
data_ErMg
_cell_length_a 5.3672
_cell_length_b 13.4396
_cell_length_c 5.9968
_cell_angle_alpha 90.00
_cell_angle_beta 90.00
_cell_angle_gamma 90.00
_space_group_name_H-M_alt 'P m m n'
_space_group_IT_number 59
loop_
_space_group_symop_operation_xyz
'x,y,z'
'-x,-y,-z'
'-x+1/2,-y+1/2,z'
'x+1/2,y+1/2,-z'
'x+1/2,-y,-z'
'-x+1/2,y,z'
'-x,y+1/2,-z'
'x,-y+1/2,z'
loop_
_atom_site_label
_atom_site_fract_x
_atom_site_fract_y
_atom_site_fract_z
Er1 0.2500 0.0044 0.1670
Er2 0.2500 0.1234 0.6527
Mg1 0.2500 0.2500 0.1551
Mg2 0.2500 0.6275 0.6724
Mg3 0.2500 0.7500 0.1501
```

Calculated values
The volume comes out at 27.0 Å³ per atom. The total energy is -3.0163 eV/atom. The calculation puts the magnetization at 0.02 μB per formula unit.